(1)
{
  "formula": "Tb3CeTc",
  "functional": "PBE",
  "state": "relaxed",
  "vol_a3_per_atom": 27.695,
  "ef_ev_per_atom": -0.04,
  "cell": [[3.813, 0.000, 0.627], [1.819, 5.911, 0.845], [-0.058, -0.131, 12.265]],
  "species": ["Tc", "Tc", "Ce", "Tb", "Tb", "Tb", "Tb", "Ce", "Tb", "Tb"],
  "frac_coords": [[0.750, 0.365, 0.135], [0.435, 0.373, 0.757], [0.223, 0.545, 0.010], [0.790, 0.036, 0.383], [0.114, 0.147, 0.625], [0.761, 0.712, 0.766], [0.439, 0.599, 0.523], [0.113, 0.484, 0.291], [0.451, 0.948, 0.150], [0.985, 0.128, 0.903]]
}

(2)
{
  "formula": "Tb2CeTc2",
  "functional": "PBE",
  "state": "relaxed",
  "vol_a3_per_atom": 23.121,
  "ef_ev_per_atom": -0.14,
  "cell": [[3.911, 0.004, 1.663], [1.180, 5.210, 2.640], [-0.204, 0.771, 5.905]],
  "species": ["Tb", "Tc", "Ce", "Tc", "Tb"],
  "frac_coords": [[0.302, 0.198, 0.698], [0.000, 0.234, 0.266], [0.500, 0.500, 0.000], [0.000, 0.766, 0.734], [0.698, 0.802, 0.302]]
}

(3)
{
  "formula": "TbCeTc2",
  "functional": "PBE",
  "state": "relaxed",
  "vol_a3_per_atom": 20.279,
  "ef_ev_per_atom": 0.03,
  "e_above_lowest_polymorph_ev_per_fu": 0.00,
  "cell": [[3.419, 0.000, 0.000], [0.000, 3.419, 0.000], [0.000, 0.000, 6.941]],
  "species": ["Tc", "Ce", "Tb", "Tc"],
  "frac_coords": [[0.000, 0.000, 0.775], [0.500, 0.500, 0.000], [0.500, 0.500, 0.500], [0.000, 0.000, 0.225]]
}